(P)
First-principles (PBE) data for crystalline YMoBr2 at its relaxed geometry, as listed in the Alexandria database.

Computed properties:
The symmetry is I-42d, No. 122.

Structure (POSCAR):
```
YMoBr2
1.0
4.757 0.000 0.000
0.000 4.757 0.000
2.378 2.378 8.992
Y Br Mo
2 4 2
Cartesian
2.378 2.378 0.000
2.378 4.757 4.496
3.652 1.189 2.248
3.568 3.483 6.744
1.105 3.568 2.248
5.946 6.031 6.744
0.000 0.000 0.000
4.757 2.378 4.496
```

(Q)
First-principles (PBE) data for crystalline YMoBr2 at its relaxed geometry, as listed in the Alexandria database.

Computed properties:
The symmetry is Cm, No. 8.

Structure (POSCAR):
```
YMoBr2
1.0
-5.569 -1.858 -0.532
-4.601 -2.439 2.761
-1.980 5.197 1.499
Br Y Mo
2 1 1
Cartesian
-8.933 0.663 2.741
-10.144 -3.206 2.414
-2.634 -0.143 0.749
-6.684 -0.258 1.918
```

(R)
First-principles (PBE) data for crystalline YMoBr2 at its relaxed geometry, as listed in the Alexandria database.

Computed properties:
The symmetry is R3m, No. 160.

Structure (POSCAR):
```
YMoBr2
1.0
-7.570 4.556 4.317
-5.893 3.191 7.196
-4.805 6.325 5.796
Mo Y Br
1 1 2
Cartesian
-9.177 7.070 8.696
-13.810 10.638 13.085
-4.064 3.130 3.850
-0.352 0.271 0.333
```

(S)
First-principles (PBE) data for crystalline YMoBr2 at its relaxed geometry, as listed in the Alexandria database.

Computed properties:
The symmetry is Pmmm, No. 47.

Structure (POSCAR):
```
YMoBr2
1.0
3.421 0.000 0.000
0.000 5.886 0.000
0.000 0.000 4.660
Br Mo Y
2 1 1
Cartesian
1.710 2.943 0.000
0.000 0.000 0.000
1.710 0.000 2.330
0.000 2.943 2.330
```

Sorted by energy, starting with the most stable: (R), (Q), (P), (S).

(P)
First-principles (PBE) data for crystalline ZnMo2Br at its relaxed geometry, as listed in the Alexandria database.

Computed properties:
The symmetry is Fm-3m, No. 225.

Structure (POSCAR):
```
ZnMo2Br
1.0
4.166 0.296 1.571
1.204 -2.361 3.589
2.798 -3.448 -0.434
Mo Zn Br
2 1 1
Cartesian
2.042 -1.378 1.182
6.126 -4.135 3.545
0.000 0.000 0.000
4.084 -2.757 2.363
```

(Q)
First-principles (PBE) data for crystalline ZnMo2Br at its relaxed geometry, as listed in the Alexandria database.

Computed properties:
The symmetry is Immm, No. 71.

Structure (POSCAR):
```
ZnMo2Br
1.0
5.494 0.006 -0.002
2.556 4.863 0.002
-3.367 -3.523 2.537
Mo Br Zn
2 1 1
Cartesian
3.962 2.396 0.000
0.064 0.038 0.000
1.607 1.887 1.270
3.076 -0.542 1.268
```

Sorted by energy, starting with the most stable: (Q), (P).